[1]
# AlNi8Ge2 (PBE, relaxed)
data_AlNi8Ge2
_cell_length_a 3.7142
_cell_length_b 6.4584
_cell_length_c 10.9597
_cell_angle_alpha 90.00
_cell_angle_beta 90.00
_cell_angle_gamma 90.00
_symmetry_space_group_name_H-M 'I m m m'
_symmetry_Int_Tables_number 71
_symmetry_space_group_name_Hall '-I 2 2'
loop_
_atom_site_label
_atom_site_type_symbol
_atom_site_fract_x
_atom_site_fract_y
_atom_site_fract_z
Al1 Al 0.0000 0.0000 0.0000
Ni1 Ni 0.0000 0.2123 0.5000
Ni2 Ni 0.0000 0.2689 0.1626
Ni3 Ni 0.0000 0.5000 0.3480
Ge1 Ge 0.0000 0.0000 0.3191
# Calculated density (g/cm³): 8.1
# Distance to the lowest polymorph of the same formula (kJ per mole of atoms): 0.00



[2]
# AlNi6Ge (PBE, relaxed)
data_AlNi6Ge
_cell_length_a 3.5716
_cell_length_b 3.5716
_cell_length_c 7.1371
_cell_angle_alpha 90.00
_cell_angle_beta 90.00
_cell_angle_gamma 90.00
_symmetry_space_group_name_H-M 'P 4/m m m'
_symmetry_Int_Tables_number 123
_symmetry_space_group_name_Hall '-P 4 2'
loop_
_atom_site_label
_atom_site_type_symbol
_atom_site_fract_x
_atom_site_fract_y
_atom_site_fract_z
Al1 Al 0.0000 0.0000 0.0000
Ni1 Ni 0.0000 0.5000 0.2502
Ni2 Ni 0.5000 0.5000 0.0000
Ni3 Ni 0.5000 0.5000 0.5000
Ge1 Ge 0.0000 0.0000 0.5000
# Calculated density (g/cm³): 8.2



| no. | spin magnetization (μB/cell) | total energy (eV/f.u.) | DFT formation energy (kJ/mol of atoms) |
| --- | --- | --- | --- |
| 1 | 0.0 | -62.569 | -29.3 |
| 2 | 0.7 | -45.915 | -34.6 |